Record 1
Tm2AgRh | GGA-PBE | optimized geometry

Geometry as POSCAR:
```
Tm2AgRh
1.0
3.445 0.000 0.000
0.000 3.445 0.000
0.000 0.000 7.167
Tm Ag Rh
2 1 1
Cartesian
0.000 0.000 1.634
0.000 0.000 5.533
1.723 1.723 3.584
1.723 1.723 0.000
```

Values from the calculation:
raw total energy: -5.43 eV per atom
SG: P4/mmm (123)
calculated volume: 85.1 Å³ per cell
ΔE_f: -62 kJ/mol of atoms

Record 2
La2Nd6ErTm | GGA-PBE | optimized geometry

Geometry as POSCAR:
```
La2Nd6ErTm
1.0
4.597 -7.637 0.000
4.597 7.637 0.000
-1.808 0.000 9.931
La Nd Er Tm
4 12 2 2
Cartesian
2.154 0.744 0.411
1.250 -0.744 5.377
6.137 0.744 4.554
5.232 -0.744 9.520
2.416 4.310 1.885
2.984 4.736 5.524
3.498 4.736 9.372
2.955 1.549 3.761
5.874 4.310 3.081
2.051 -1.549 8.727
5.336 1.549 1.204
1.512 -4.310 6.850
4.432 -1.549 6.170
3.888 -4.736 0.559
4.402 -4.736 4.407
4.970 -4.310 8.046
4.145 7.440 2.483
3.241 -7.440 7.448
3.241 1.453 7.448
4.145 -1.453 2.483
```

Values from the calculation:
raw total energy: -4.64 eV per atom
SG: C2/c (15)
calculated volume: 697.3 Å³ per cell
ΔE_f: 11 kJ/mol of atoms